Entry P
VASP calculation (SCAN) on Al3Cu3Ni2 at its PBEsol-relaxed geometry.

As for the density: 6757 kg/m³.

The space group is P-1 (No. 2) and the conventional cell measures 5.016, 6.328 and 6.597 Å, with angles of 79.65, 72.15 and 74.72 degrees. The distinct sites, in fractional coordinates, are Al at (0.104, 0.428, 0.193), Al at (0.346, 0.834, 0.047), Al at (0.392, 0.292, 0.553), Cu at (0.114, 0.707, 0.425), Cu at (0.143, 0.921, 0.701), Cu at (0.402, 0.539, 0.819), Ni at (0.149, 0.203, 0.921) and Ni at (0.354, 0.063, 0.307).

Entry Q
VASP calculation (SCAN) on Al3Cu3Ni2 at its PBEsol-relaxed geometry.

As for the density: 6606 kg/m³.

The space group is P-62m (No. 189) and the conventional cell measures 6.4737, 6.4737 and 2.6941 Å, with angles of 90.00, 90.00 and 120.00 degrees. The distinct sites, in fractional coordinates, are Al at (0.0000, 0.6006, 0.0000), Cu at (0.0000, 0.2275, 0.5000) and Ni at (0.3333, 0.6667, 0.5000).

Verdict on stability: entry Q comes out at the bottom.

Entry P
VASP calculation (SCAN) on AlCu2Ni5 at its PBEsol-relaxed geometry.

As for the density: 8592 kg/m³.

The space group is I4/mmm (No. 139) and the conventional cell measures 3.545, 3.545 and 13.763 Å, with angles of 90.00, 90.00 and 90.00 degrees. The distinct sites, in fractional coordinates, are Al at (0.000, 0.000, 0.000), Cu at (0.000, 0.000, 0.250), Ni at (0.000, 0.000, 0.500) and Ni at (0.000, 0.500, 0.124).

Entry Q
VASP calculation (SCAN) on AlCu2Ni5 at its PBEsol-relaxed geometry.

As for the density: 8596 kg/m³.

The space group is Pbam (No. 55) and the conventional cell measures 4.932, 9.878 and 3.549 Å, with angles of 90.00, 90.00 and 90.00 degrees. The distinct sites, in fractional coordinates, are Al at (0.000, 0.000, 0.000), Cu at (0.234, 0.372, 0.500), Ni at (0.000, 0.500, 0.000), Ni at (0.016, 0.750, 0.000) and Ni at (0.239, 0.124, 0.500).

Verdict on stability: entry Q comes out at the bottom.